Compound: KBaMn2F8
Source: Alexandria
Functional: PBE with a Hubbard U
Structure: optimized geometry

Lattice parameters (Å, degrees): 6.0320 6.0320 8.3466 90.00 90.00 120.00
Space group P-3 (No. 147)
Inequivalent atoms, fractional coordinates:
K 0.0000 0.0000 0.0000 [1 per cell]
Ba 0.0000 0.0000 0.5000 [1 per cell]
Mn 0.3333 0.6667 0.8257 [2 per cell]
F 0.1514 0.3314 0.7288 [6 per cell]
F 0.3333 0.6667 0.0544 [2 per cell]

Computed properties:
E_tot = -5.470 eV/atom
V = 263 Å³/f.u.